# Y2ZnCd

Y2ZnCd after structural relaxation (GGA-PBE, OQMD via LeMat-Bulk).

Output
Raw total energy = -59.25 eV per cell
Space-group type = F-43m, No. 216
ΔH_f (0 K) = 0.0694 eV per atom
Energy relative to the lowest polymorph listed for this composition = 0.000 eV per formula unit
Crystal system = cubic

Cell: 7.340 7.340 7.340 Å, 90.00 90.00 90.00°
Fractional coordinates of all 16 atoms:
Y (0.000, 0.000, 0.000)
Y (0.000, 0.500, 0.500)
Y (0.250, 0.250, 0.250)
Y (0.250, 0.750, 0.750)
Y (0.500, 0.000, 0.500)
Y (0.500, 0.500, 0.000)
Y (0.750, 0.250, 0.750)
Y (0.750, 0.750, 0.250)
Zn (0.000, 0.000, 0.500)
Zn (0.000, 0.500, 0.000)
Zn (0.500, 0.000, 0.000)
Zn (0.500, 0.500, 0.500)
Cd (0.250, 0.250, 0.750)
Cd (0.250, 0.750, 0.250)
Cd (0.750, 0.250, 0.250)
Cd (0.750, 0.750, 0.750)